Computed, not measured: an optimized crystal structure of Rb2CrBF6 at the GGA+U level of DFT.

The space group is I4/mmm (No. 139) and the conventional cell measures 6.036, 6.036 and 8.563 Å, with angles of 90.00, 90.00 and 90.00 degrees. Symmetry generates all atoms from Rb at (0.000, 0.500, 0.250), Cr at (0.000, 0.000, 0.000), B at (0.000, 0.000, 0.500), F at (0.000, 0.000, 0.229) and F at (0.230, 0.230, 0.000).

The calculation puts the calculated volume at 15.599 A^3/atom. The value obtained for the total energy is -96.98 eV for the cell shown.